! InGa3Ag3 PBE-GGA optimized geometry; values from VASP
&SYSTEM
  ibrav = 0, nat = 14, ntyp = 3
/
ATOMIC_SPECIES
In 114.82 In.upf
Ga 69.72 Ga.upf
Ag 107.87 Ag.upf
CELL_PARAMETERS angstrom
7.253 0.000 0.000
0.000 7.253 0.000
0.000 0.000 7.253
ATOMIC_POSITIONS angstrom
In 0.000 0.000 0.000
In 3.626 3.626 3.626
Ga 0.000 1.813 3.626
Ga 0.000 5.440 3.626
Ga 1.813 3.626 0.000
Ga 3.626 0.000 1.813
Ga 3.626 0.000 5.440
Ga 5.440 3.626 0.000
Ag 0.000 3.626 1.813
Ag 0.000 3.626 5.440
Ag 1.813 0.000 3.626
Ag 3.626 1.813 0.000
Ag 3.626 5.440 0.000
Ag 5.440 0.000 3.626
! **Formation energy**: 368 meV/atom
! **ΔE to the lowest computed polymorph**: 313 meV per atom
! **Uncorrected energy**: -2.543 eV per atom

---

! CaLa12Tb3 PBE-GGA optimized geometry; values from VASP
&SYSTEM
  ibrav = 0, nat = 16, ntyp = 3
/
ATOMIC_SPECIES
Ca 40.08 Ca.upf
La 138.91 La.upf
Tb 158.93 Tb.upf
CELL_PARAMETERS angstrom
5.246 0.000 0.000
0.000 5.246 0.000
0.000 0.000 20.979
ATOMIC_POSITIONS angstrom
Ca 0.000 0.000 0.000
La 0.000 2.623 2.723
La 0.000 2.623 7.888
La 0.000 2.623 13.091
La 0.000 2.623 18.256
La 2.623 0.000 2.723
La 2.623 0.000 7.888
La 2.623 0.000 13.091
La 2.623 0.000 18.256
La 2.623 2.623 0.000
La 2.623 2.623 5.282
La 2.623 2.623 10.490
La 2.623 2.623 15.698
Tb 0.000 0.000 5.273
Tb 0.000 0.000 10.490
Tb 0.000 0.000 15.707
! **Formation energy**: 20 meV/atom
! **Uncorrected energy**: -4.669 eV per atom

---

! BaLi2MgAu4 PBE-GGA optimized geometry; values from VASP
&SYSTEM
  ibrav = 0, nat = 8, ntyp = 4
/
ATOMIC_SPECIES
Ba 137.33 Ba.upf
Li 6.94 Li.upf
Mg 24.30 Mg.upf
Au 196.97 Au.upf
CELL_PARAMETERS angstrom
2.281 1.317 9.663
-2.281 1.317 9.663
0.000 -2.634 9.663
ATOMIC_POSITIONS angstrom
Ba 0.000 0.000 0.000
Li 0.000 0.000 6.670
Li 0.000 0.000 22.320
Mg 0.000 0.000 14.495
Au 0.000 0.000 3.768
Au 0.000 0.000 11.786
Au 0.000 0.000 17.205
Au 0.000 0.000 25.222
! **Formation energy**: -580 meV/atom
! **Uncorrected energy**: -3.137 eV per atom

---

! PmPrPaSn PBE-GGA optimized geometry; values from VASP
&SYSTEM
  ibrav = 0, nat = 4, ntyp = 4
/
ATOMIC_SPECIES
Pm 145.00 Pm.upf
Pr 140.91 Pr.upf
Pa 231.04 Pa.upf
Sn 118.71 Sn.upf
CELL_PARAMETERS angstrom
0.000 3.859 3.859
3.859 0.000 3.859
3.859 3.859 0.000
ATOMIC_POSITIONS angstrom
Pm 0.000 0.000 0.000
Pr 3.859 3.859 3.859
Pa 1.930 1.930 1.930
Sn 5.789 5.789 5.789
! **Formation energy**: 30 meV/atom
! **Uncorrected energy**: -5.728 eV per atom

---

! Pu3TlS PBE-GGA optimized geometry; values from VASP
&SYSTEM
  ibrav = 0, nat = 5, ntyp = 3
/
ATOMIC_SPECIES
Pu 244.00 Pu.upf
Tl 204.38 Tl.upf
S 32.06 S.upf
CELL_PARAMETERS angstrom
5.270 0.000 0.000
0.000 5.270 0.000
0.000 0.000 5.270
ATOMIC_POSITIONS angstrom
Pu 0.000 0.000 2.635
Pu 0.000 2.635 0.000
Pu 2.635 0.000 0.000
Tl 2.635 2.635 2.635
S 0.000 0.000 0.000
! **Uncorrected energy**: -10.247 eV per atom

---

! TeSe2Cl PBE-GGA optimized geometry; values from VASP
&SYSTEM
  ibrav = 0, nat = 4, ntyp = 3
/
ATOMIC_SPECIES
Te 127.60 Te.upf
Se 78.96 Se.upf
Cl 35.45 Cl.upf
CELL_PARAMETERS angstrom
1.990 1.149 8.643
-1.990 1.149 8.643
0.000 -2.297 8.643
ATOMIC_POSITIONS angstrom
Te 0.000 0.000 0.000
Se 0.000 0.000 10.418
Se 0.000 0.000 15.511
Cl 0.000 0.000 12.965
! **ΔE to the lowest computed polymorph**: 165 meV per atom
! **Uncorrected energy**: -2.967 eV per atom

---

! PmYRh PBE-GGA optimized geometry; values from VASP
&SYSTEM
  ibrav = 0, nat = 12, ntyp = 3
/
ATOMIC_SPECIES
Pm 145.00 Pm.upf
Y 88.91 Y.upf
Rh 102.91 Rh.upf
CELL_PARAMETERS angstrom
0.000 6.311 4.443
5.889 0.000 4.443
5.889 6.311 0.000
ATOMIC_POSITIONS angstrom
Pm 7.273 2.080 4.443
Pm 7.449 5.235 6.665
Pm 4.505 10.542 4.443
Pm 4.329 7.386 6.665
Y 5.236 4.660 3.592
Y 9.487 7.815 5.813
Y 6.542 7.962 3.592
Y 8.181 11.117 5.813
Rh 8.134 5.753 3.979
Rh 5.190 3.713 6.200
Rh 3.644 6.868 3.979
Rh 6.589 8.909 6.200
! **Formation energy**: -565 meV/atom
! **ΔE to the lowest computed polymorph**: 0 meV per atom
! **Uncorrected energy**: -6.753 eV per atom

---

! TbTlRhAu PBE-GGA optimized geometry; values from VASP
&SYSTEM
  ibrav = 0, nat = 4, ntyp = 4
/
ATOMIC_SPECIES
Tb 158.93 Tb.upf
Tl 204.38 Tl.upf
Rh 102.91 Rh.upf
Au 196.97 Au.upf
CELL_PARAMETERS angstrom
0.000 3.457 3.457
3.457 0.000 3.457
3.457 3.457 0.000
ATOMIC_POSITIONS angstrom
Tb 0.000 0.000 0.000
Tl 3.457 3.457 3.457
Rh 5.185 5.185 5.185
Au 1.728 1.728 1.728
! **Formation energy**: -427 meV/atom
! **Uncorrected energy**: -4.833 eV per atom

---

! Sr2Ga5Au3 PBE-GGA optimized geometry; values from VASP
&SYSTEM
  ibrav = 0, nat = 20, ntyp = 3
/
ATOMIC_SPECIES
Sr 87.62 Sr.upf
Ga 69.72 Ga.upf
Au 196.97 Au.upf
CELL_PARAMETERS angstrom
-5.420 6.317 3.201
5.420 -6.317 3.201
5.420 6.317 -3.201
ATOMIC_POSITIONS angstrom
Sr 2.665 1.584 0.000
Sr 2.665 -1.584 3.201
Sr 2.755 7.901 0.000
Sr 2.755 4.732 3.201
Ga 5.420 -3.088 1.600
Ga 6.880 1.548 0.000
Ga 0.000 0.000 1.600
Ga 1.460 4.769 0.000
Ga 5.420 3.088 1.600
Ga 0.000 3.228 1.600
Ga 3.960 1.548 3.201
Ga 0.000 0.000 4.801
Ga -1.460 4.769 3.201
Ga 0.000 9.405 1.600
Au 4.042 -4.707 3.201
Au 5.420 0.000 1.600
Au 4.042 4.707 0.000
Au 1.378 1.610 3.201
Au 0.000 6.317 1.600
Au 1.378 11.024 0.000
! **Formation energy**: -568 meV/atom
! **ΔE to the lowest computed polymorph**: 0 meV per atom
! **Uncorrected energy**: -3.401 eV per atom

---

! Zr2TaTc PBE-GGA optimized geometry; values from VASP
&SYSTEM
  ibrav = 0, nat = 4, ntyp = 3
/
ATOMIC_SPECIES
Zr 91.22 Zr.upf
Ta 180.95 Ta.upf
Tc 98.00 Tc.upf
CELL_PARAMETERS angstrom
3.294 0.000 0.000
0.000 3.294 0.000
0.000 0.000 7.075
ATOMIC_POSITIONS angstrom
Zr 0.000 0.000 1.619
Zr 0.000 0.000 5.456
Ta 1.647 1.647 3.537
Tc 1.647 1.647 0.000
! **Formation energy**: -97 meV/atom
! **ΔE to the lowest computed polymorph**: 94 meV per atom
! **Uncorrected energy**: -9.926 eV per atom

---

! BeSi2Br PBE-GGA optimized geometry; values from VASP
&SYSTEM
  ibrav = 0, nat = 4, ntyp = 3
/
ATOMIC_SPECIES
Be 9.01 Be.upf
Si 28.09 Si.upf
Br 79.90 Br.upf
CELL_PARAMETERS angstrom
2.419 -4.913 0.000
2.419 4.913 0.000
0.000 0.000 2.971
ATOMIC_POSITIONS angstrom
Be 0.000 0.000 0.000
Si 1.210 2.457 1.486
Si 1.210 -2.457 1.486
Br 2.419 0.000 0.000
! **ΔE to the lowest computed polymorph**: 856 meV per atom
! **Uncorrected energy**: -3.158 eV per atom

---

! CuHgTe2 PBE-GGA optimized geometry; values from VASP
&SYSTEM
  ibrav = 0, nat = 4, ntyp = 3
/
ATOMIC_SPECIES
Cu 63.55 Cu.upf
Hg 200.59 Hg.upf
Te 127.60 Te.upf
CELL_PARAMETERS angstrom
0.000 3.658 3.658
3.658 0.000 3.658
3.658 3.658 0.000
ATOMIC_POSITIONS angstrom
Cu 0.000 0.000 0.000
Hg 1.829 1.829 1.829
Te 3.658 3.658 3.658
Te 5.487 5.487 5.487
! **Uncorrected energy**: -2.221 eV per atom